The following is a GGA-PBE calculation of an optimized crystal structure of Pm2SiAu, from the Alexandria database.

Values from the calculation:
Uncorrected formation energy ... -629.3 meV per atom
Energy above the lowest structure with this stoichiometry ... 93 meV per atom

Lattice parameters (Å, degrees): 7.3269 7.3269 7.3269 90.00 90.00 90.00
With the nearest neighbours (Å) after each atom.
Space group Fm-3m (No. 225)
One atom of each set of equivalent atoms:
Pm1 0.2500 0.2500 0.2500  4 Si 3.17, 4 Au 3.17
Si1 0.0000 0.0000 0.0000  8 Pm 3.17
Au1 0.0000 0.0000 0.5000  8 Pm 3.17



The following is a GGA-PBE calculation of an optimized crystal structure of ZrBRu3, from the Alexandria database.

Values from the calculation:
Formation energy from the elements ... 0.789 eV/atom

Lattice parameters (Å, degrees): 4.5633 4.5633 19.2593 90.00 90.00 90.00
With the nearest neighbours (Å) after each atom.
Space group I-4m2 (No. 119)
One atom of each set of equivalent atoms:
Zr1 0.0000 0.0000 0.0000  4 Ru 2.62
Zr2 0.0000 0.5000 0.2500  4 Ru 2.71
B1 0.0000 0.5000 0.6325  6 Ru 2.29-2.54
Ru1 0.0000 0.0000 0.3603  2 B 2.29
Ru2 0.0000 0.2431 0.1234  2 Ru 2.22-2.34



The following is a GGA-PBE calculation of an optimized crystal structure of Na3Li2TaSe6, from the Alexandria database.

Values from the calculation:
Uncorrected formation energy ... -850.3 meV per atom

Lattice parameters (Å, degrees): 6.6674 11.5757 7.3423 90.00 107.75 90.00
With the nearest neighbours (Å) after each atom.
Space group C2/m (No. 12)
One atom of each set of equivalent atoms:
Na1 0.0000 0.0000 0.0000  6 Se 2.96-3.08
Na2 0.0000 0.3305 0.0000  6 Se 2.96-3.05
Li1 0.0000 0.1677 0.5000  6 Se 2.71-2.73
Ta1 0.0000 0.5000 0.5000  6 Se 2.59-2.60
Se1 0.2301 0.3409 0.7137  1 Ta 2.60, 2 Li 2.71-2.73
Se2 0.2467 0.5000 0.2881  1 Ta 2.59, 2 Li 2.73



The following is a GGA-PBE calculation of an optimized crystal structure of TlSn2BiBr8, from the Alexandria database.

Values from the calculation:
Uncorrected formation energy ... -751.8 meV per atom

Lattice parameters (Å, degrees): 6.9380 7.3053 9.2048 87.46 88.34 88.67
With the nearest neighbours (Å) after each atom.
Space group P-1 (No. 2)
One atom of each set of equivalent atoms:
Tl1 0.0000 0.0000 0.0000  6 Br 3.29-3.33
Sn1 0.4907 0.4894 0.2487  4 Br 2.77-3.02
Bi1 0.0000 0.0000 0.5000  6 Br 2.89-2.92
Br1 0.2400 0.3238 0.4798  1 Bi 2.92, 1 Sn 2.94
Br2 0.2396 0.8296 0.2795  1 Bi 2.89, 1 Sn 3.02
Br3 0.2537 0.8470 0.7212  1 Bi 2.90, 1 Sn 3.00
Br4 0.2779 0.3621 0.0262  1 Sn 2.77



The following is a GGA-PBE calculation of an optimized crystal structure of K2SiBiPt, from the Alexandria database.

Values from the calculation:
Uncorrected formation energy ... 29.3 meV per atom

Lattice parameters (Å, degrees): 6.2436 6.2436 4.5341 90.00 90.00 90.00
With the nearest neighbours (Å) after each atom.
Space group P4/mmm (No. 123)
One atom of each set of equivalent atoms:
K1 0.0000 0.5000 0.0000  2 Pt 3.12
Si1 0.0000 0.0000 0.5000  2 Pt 2.27
Bi1 0.5000 0.5000 0.5000  8 K 3.86
Pt1 0.0000 0.0000 0.0000  2 Si 2.27



The following is a GGA-PBE calculation of an optimized crystal structure of BC2, from the Alexandria database.

Values from the calculation:
Formation energy from the elements ... 0.331 eV/atom
Energy above the lowest structure with this stoichiometry ... 91 meV per atom

Lattice parameters (Å, degrees): 13.6784 2.4729 4.7218 90.00 106.71 90.00
With the nearest neighbours (Å) after each atom.
Space group Cm (No. 8)
One atom of each set of equivalent atoms:
B1 0.0000 0.0000 0.0000  2 C 1.60-1.63
B2 0.0598 0.5000 0.2715  2 C 1.62-1.64, 2 B 1.80
B3 0.1718 0.0000 0.8485  4 C 1.64-1.69
B4 0.3413 0.5000 0.1809  4 C 1.61-1.69
C1 0.0061 0.5000 0.5418  3 C 1.51-1.53, 1 B 1.64
C2 0.0470 0.0000 0.7189  2 C 1.51, 2 B 1.63-1.64
C3 0.1838 0.5000 0.3743  3 C 1.53, 1 B 1.62
C4 0.2183 0.5000 0.0945  1 C 1.53, 3 B 1.61-1.69
C5 0.2202 0.0000 0.5667  3 C 1.53-1.60, 1 B 1.65
C6 0.3424 0.0000 0.6898  4 C 1.52-1.60
C7 0.3777 0.5000 0.8797  2 C 1.52, 2 B 1.60-1.64
C8 0.3897 0.0000 0.4267  2 C 1.53-1.56, 2 B 1.69



The following is a GGA-PBE calculation of an optimized crystal structure of Zr2CdHPd, from the Alexandria database.

Values from the calculation:
Energy above the lowest structure with this stoichiometry ... 0 meV per atom

Lattice parameters (Å, degrees): 4.3894 4.3894 4.2443 90.00 90.00 90.00
With the nearest neighbours (Å) after each atom.
Space group P4/mmm (No. 123)
One atom of each set of equivalent atoms:
Zr1 0.0000 0.5000 0.0000  2 H 2.19
Cd1 0.0000 0.0000 0.5000  8 Zr 3.05, 4 Pd 3.10
H1 0.5000 0.5000 0.0000  2 Pd 2.12, 4 Zr 2.19
Pd1 0.5000 0.5000 0.5000  2 H 2.12



The following is a GGA-PBE calculation of an optimized crystal structure of MgCrTe2, from the Alexandria database.

Values from the calculation:
Uncorrected formation energy ... 63.6 meV per atom

Lattice parameters (Å, degrees): 3.4743 3.4743 28.5862 90.00 90.00 120.00
With the nearest neighbours (Å) after each atom.
Space group R-3m (No. 166, hexagonal axes)
One atom of each set of equivalent atoms:
Mg1 0.0000 0.0000 0.0000  2 Te 3.06
Cr1 0.0000 0.0000 0.5000  6 Te 2.63
Te1 0.0000 0.0000 0.1070  3 Cr 2.63



- Which formula does entry 8 have?
  MgCrTe2



What did the eighth record say?
The following is a GGA-PBE calculation of an optimized crystal structure of MgCrTe2, from the Alexandria database.

Values from the calculation:
Uncorrected formation energy ... 63.6 meV per atom

Lattice parameters (Å, degrees): 3.4743 3.4743 28.5862 90.00 90.00 120.00
With the nearest neighbours (Å) after each atom.
Space group R-3m (No. 166, hexagonal axes)
One atom of each set of equivalent atoms:
Mg1 0.0000 0.0000 0.0000  2 Te 3.06
Cr1 0.0000 0.0000 0.5000  6 Te 2.63
Te1 0.0000 0.0000 0.1070  3 Cr 2.63